Crystalline Nd6Er2In at its relaxed geometry. Source: Alexandria via LeMat-Bulk, functional PBE.

```
data_Nd6Er2In
_chemical_formula_sum 'Nd12 Er4 In2'
_cell_length_a 10.029
_cell_length_b 10.029
_cell_length_c 6.198
_cell_angle_alpha 95.69
_cell_angle_beta 95.69
_cell_angle_gamma 72.88
_space_group_name_H-M_alt 'P 1'
_space_group_IT_number 1
_space_group_name_Hall 'P 1'
loop_
_atom_site_label
_atom_site_fract_x
_atom_site_fract_y
_atom_site_fract_z
Nd1 0.089 0.809 0.985
Nd2 0.138 0.430 0.149
Nd3 0.191 0.911 0.515
Nd4 0.271 0.519 0.672
Nd5 0.430 0.138 0.649
Nd6 0.481 0.729 0.828
Nd7 0.519 0.271 0.172
Nd8 0.570 0.862 0.351
Nd9 0.729 0.481 0.328
Nd10 0.809 0.089 0.485
Nd11 0.862 0.570 0.851
Nd12 0.911 0.191 0.015
Er1 0.071 0.276 0.581
Er2 0.276 0.071 0.081
Er3 0.724 0.929 0.919
Er4 0.929 0.724 0.419
In1 0.376 0.624 0.250
In2 0.624 0.376 0.750
```

Values from the calculation:
space-group type: C2/c
raw total energy: -4.54 eV per atom
E_form: -0.3 eV per formula unit
calculated volume: 32.85 A^3/atom
relative energy among the computed polymorphs: 0.0056 eV per atom